YMoRh2 after structural relaxation. Source: Alexandria, functional PBE.

Values from the calculation:
The energy above the most stable polymorph in this dataset comes out at 11.90 kJ/mol of atoms. As for the density of states at the Fermi level: 0.989 states/eV per atom. As for the calculated formation energy: -0.144 eV per atom.

Cell: 9.6066 2.9869 4.9703 Å, 90.00 100.57 90.00°
Element x y z (fractional)
Y 0.0000 0.0000 0.0000
Y 0.5000 0.5000 0.0000
Mo 0.2776 0.5000 0.3584
Mo 0.7776 0.0000 0.3584
Rh 0.0091 0.5000 0.4964
Rh 0.2454 0.0000 0.7968
Rh 0.5091 0.0000 0.4964
Rh 0.7454 0.5000 0.7968

***

SrCrMo after structural relaxation. Source: Alexandria, functional PBE.

Values from the calculation:
The energy above the most stable polymorph in this dataset comes out at 61.06 kJ/mol of atoms. As for the density of states at the Fermi level: 0.494 states/eV per atom. As for the calculated formation energy: 1.344 eV per atom.

Cell: 6.6965 6.6965 6.6965 Å, 90.00 90.00 90.00°
Element x y z (fractional)
Sr 0.0000 0.0000 0.0000
Sr 0.0000 0.5000 0.5000
Sr 0.5000 0.0000 0.5000
Sr 0.5000 0.5000 0.0000
Cr 0.2500 0.2500 0.2500
Cr 0.2500 0.7500 0.7500
Cr 0.7500 0.2500 0.7500
Cr 0.7500 0.7500 0.2500
Mo 0.0000 0.0000 0.5000
Mo 0.0000 0.5000 0.0000
Mo 0.5000 0.0000 0.0000
Mo 0.5000 0.5000 0.5000

***

Tb3NdDy6Tm2 after structural relaxation. Source: Alexandria, functional PBE.

Values from the calculation:
As for the density of states at the Fermi level: 1.270 states/eV per atom. As for the calculated formation energy: 0.017 eV per atom.

Cell: 6.1402 6.1402 11.7644 Å, 94.97 94.97 119.95°
Element x y z (fractional)
Tb 0.0000 0.0000 0.0000
Tb 0.3330 0.6670 0.0000
Tb 0.6670 0.3330 0.0000
Nd 0.5000 0.5000 0.5000
Dy 0.0817 0.4159 0.2500
Dy 0.2496 0.2496 0.7499
Dy 0.4159 0.0817 0.2500
Dy 0.5841 0.9183 0.7500
Dy 0.7504 0.7504 0.2501
Dy 0.9183 0.5841 0.7500
Tm 0.1667 0.8333 0.5000
Tm 0.8333 0.1667 0.5000

***

CePmSiIr after structural relaxation. Source: Alexandria, functional PBE.

Values from the calculation:
The energy above the most stable polymorph in this dataset comes out at 31.26 kJ/mol of atoms. As for the density of states at the Fermi level: 1.134 states/eV per atom. The raw formation energy comes out at -475 meV per atom.

Cell: 7.1237 7.1237 7.1237 Å, 90.00 90.00 90.00°
Element x y z (fractional)
Ce 0.0000 0.0000 0.0000
Ce 0.0000 0.5000 0.5000
Ce 0.5000 0.0000 0.5000
Ce 0.5000 0.5000 0.0000
Pm 0.0000 0.0000 0.5000
Pm 0.0000 0.5000 0.0000
Pm 0.5000 0.0000 0.0000
Pm 0.5000 0.5000 0.5000
Si 0.2500 0.2500 0.2500
Si 0.2500 0.7500 0.7500
Si 0.7500 0.2500 0.7500
Si 0.7500 0.7500 0.2500
Ir 0.2500 0.2500 0.7500
Ir 0.2500 0.7500 0.2500
Ir 0.7500 0.2500 0.2500
Ir 0.7500 0.7500 0.7500

***

TbTm3Fe after structural relaxation. Source: Alexandria, functional PBE.

Values from the calculation:
The energy above the most stable polymorph in this dataset comes out at 0.00 kJ/mol of atoms. As for the density of states at the Fermi level: 1.242 states/eV per atom. As for the calculated formation energy: 0.007 eV per atom.

Cell: 8.7456 3.5775 9.0787 Å, 90.00 109.02 90.00°
Element x y z (fractional)
Tb 0.1379 0.2500 0.4367
Tb 0.8621 0.7500 0.5633
Tm 0.1645 0.7500 0.1258
Tm 0.2129 0.2500 0.8254
Tm 0.4900 0.7500 0.6980
Tm 0.5100 0.2500 0.3020
Tm 0.7871 0.7500 0.1746
Tm 0.8355 0.2500 0.8742
Fe 0.4417 0.7500 0.0334
Fe 0.5583 0.2500 0.9666

***

NaThCdSn after structural relaxation. Source: Alexandria, functional PBE.

Values from the calculation:
As for the density of states at the Fermi level: 0.789 states/eV per atom. As for the calculated formation energy: -0.157 eV per atom.

Cell: 7.5895 7.5895 7.5895 Å, 90.00 90.00 90.00°
Element x y z (fractional)
Na 0.0000 0.0000 0.0000
Na 0.0000 0.5000 0.5000
Na 0.5000 0.0000 0.5000
Na 0.5000 0.5000 0.0000
Th 0.0000 0.0000 0.5000
Th 0.0000 0.5000 0.0000
Th 0.5000 0.0000 0.0000
Th 0.5000 0.5000 0.5000
Cd 0.2500 0.2500 0.7500
Cd 0.2500 0.7500 0.2500
Cd 0.7500 0.2500 0.2500
Cd 0.7500 0.7500 0.7500
Sn 0.2500 0.2500 0.2500
Sn 0.2500 0.7500 0.7500
Sn 0.7500 0.2500 0.7500
Sn 0.7500 0.7500 0.2500

***

LiZrCo3 after structural relaxation. Source: Alexandria, functional PBE.

Values from the calculation:
The energy above the most stable polymorph in this dataset comes out at 0.00 kJ/mol of atoms. As for the density of states at the Fermi level: 0.940 states/eV per atom. As for the calculated formation energy: 0.397 eV per atom.

Cell: 3.9926 3.9926 3.9926 Å, 90.00 90.00 90.00°
Element x y z (fractional)
Li 0.0000 0.0000 0.0000
Zr 0.5000 0.5000 0.5000
Co 0.0000 0.0000 0.5000
Co 0.0000 0.5000 0.0000
Co 0.5000 0.0000 0.0000

***

MnZn2P2 after structural relaxation. Source: Alexandria, functional PBE.

Values from the calculation:
As for the density of states at the Fermi level: 0.395 states/eV per atom. As for the calculated formation energy: -0.024 eV per atom.

Cell: 5.8003 5.8003 4.2373 Å, 90.00 90.00 90.00°
Element x y z (fractional)
Mn 0.0000 0.0000 0.0000
Mn 0.5000 0.5000 0.0000
Zn 0.2069 0.2931 0.5000
Zn 0.2931 0.7931 0.5000
Zn 0.7069 0.2069 0.5000
Zn 0.7931 0.7069 0.5000
P 0.1365 0.6365 0.0000
P 0.3635 0.1365 0.0000
P 0.6365 0.8635 0.0000
P 0.8635 0.3635 0.0000

***

PPtCl2 after structural relaxation. Source: Alexandria, functional PBE.

Values from the calculation:
The energy above the most stable polymorph in this dataset comes out at 97.74 kJ/mol of atoms. As for the density of states at the Fermi level: 0.514 states/eV per atom. The raw formation energy comes out at 437 meV per atom.

Cell: 5.7448 6.2374 8.0920 Å, 90.00 90.00 90.00°
Element x y z (fractional)
P 0.0000 0.0000 0.0000
P 0.0000 0.5000 0.5000
P 0.5000 0.0000 0.5000
P 0.5000 0.5000 0.0000
Pt 0.0000 0.0000 0.5000
Pt 0.0000 0.5000 0.0000
Pt 0.5000 0.0000 0.0000
Pt 0.5000 0.5000 0.5000
Cl 0.0000 0.2500 0.2500
Cl 0.0000 0.2500 0.7500
Cl 0.0000 0.7500 0.2500
Cl 0.0000 0.7500 0.7500
Cl 0.5000 0.2500 0.2500
Cl 0.5000 0.2500 0.7500
Cl 0.5000 0.7500 0.2500
Cl 0.5000 0.7500 0.7500

***

TlMoSe2 after structural relaxation. Source: Alexandria, functional PBE.

Values from the calculation:
As for the density of states at the Fermi level: 0.624 states/eV per atom. The raw formation energy comes out at 774 meV per atom.

Cell: 7.0511 7.0511 7.0511 Å, 90.00 90.00 90.00°
Element x y z (fractional)
Tl 0.0000 0.0000 0.0000
Tl 0.0000 0.5000 0.5000
Tl 0.5000 0.0000 0.5000
Tl 0.5000 0.5000 0.0000
Mo 0.2500 0.2500 0.7500
Mo 0.2500 0.7500 0.2500
Mo 0.7500 0.2500 0.2500
Mo 0.7500 0.7500 0.7500
Se 0.0000 0.0000 0.5000
Se 0.0000 0.5000 0.0000
Se 0.2500 0.2500 0.2500
Se 0.2500 0.7500 0.7500
Se 0.5000 0.0000 0.0000
Se 0.5000 0.5000 0.5000
Se 0.7500 0.2500 0.7500
Se 0.7500 0.7500 0.2500

***

TaTlBr2 after structural relaxation. Source: Alexandria, functional PBE.

Values from the calculation:
The energy above the most stable polymorph in this dataset comes out at 71.25 kJ/mol of atoms. As for the density of states at the Fermi level: 0.374 states/eV per atom. The raw formation energy comes out at 533 meV per atom.

Cell: 5.5193 5.5193 3.3645 Å, 90.00 90.00 90.00°
Element x y z (fractional)
Ta 0.0000 0.0000 0.0000
Tl 0.5000 0.5000 0.0000
Br 0.0000 0.5000 0.5000
Br 0.5000 0.0000 0.5000

***

SbPtRhO6 after structural relaxation. Source: Alexandria, functional PBE.

Values from the calculation:
As for the density of states at the Fermi level: 0.027 states/eV per atom. The raw formation energy comes out at -804 meV per atom.

Cell: 5.2052 5.2052 8.7377 Å, 90.00 90.00 120.00°
Element x y z (fractional)
Sb 0.3333 0.6667 0.2500
Sb 0.6667 0.3333 0.7500
Pt 0.3333 0.6667 0.7500
Pt 0.6667 0.3333 0.2500
Rh 0.0000 0.0000 0.0000
Rh 0.0000 0.0000 0.5000
O 0.0020 0.3464 0.1243
O 0.0020 0.6556 0.3757
O 0.3444 0.3464 0.3757
O 0.3444 0.9980 0.1243
O 0.3464 0.0020 0.6243
O 0.3464 0.3444 0.8757
O 0.6536 0.6556 0.1243
O 0.6536 0.9980 0.3757
O 0.6556 0.0020 0.8757
O 0.6556 0.6536 0.6243
O 0.9980 0.3444 0.6243
O 0.9980 0.6536 0.8757

***

CaMn2CI after structural relaxation. Source: Alexandria, functional PBE.

Values from the calculation:
As for the density of states at the Fermi level: 1.047 states/eV per atom. The raw formation energy comes out at 1704 meV per atom.

Cell: 4.9005 4.9005 4.7786 Å, 90.00 90.00 90.00°
Element x y z (fractional)
Ca 0.0000 0.0000 0.0000
Mn 0.0000 0.5000 0.5000
Mn 0.5000 0.0000 0.5000
C 0.5000 0.5000 0.0000
I 0.5000 0.5000 0.5000